1.
{"formula": "LaOsN3", "functional": "PBE", "state": "optimized geometry", "crystal_system": "orthorhombic", "lattice_angstrom": [[5.377, 1.257, 4.151], [-6.872, -0.164, -0.681], [-0.037, -5.235, 1.634]], "species": ["N", "N", "N", "N", "N", "N", "Os", "Os", "La", "La"], "fractional_positions": [[0.874, 0.453, 0.250], [0.547, 0.126, 0.250], [0.453, 0.874, 0.750], [0.126, 0.547, 0.750], [0.000, 0.000, 0.000], [0.000, 0.000, 0.500], [0.097, 0.903, 0.250], [0.903, 0.097, 0.750], [0.374, 0.626, 0.250], [0.626, 0.374, 0.750]]}



2.
{"formula": "LaOsN3", "functional": "PBE", "state": "optimized geometry", "crystal_system": "monoclinic", "lattice_angstrom": [[10.822, 0.000, -0.052], [4.494, 5.139, -2.929], [-4.494, 5.139, 2.929]], "species": ["N", "N", "N", "N", "N", "N", "N", "N", "N", "N", "N", "N", "Os", "Os", "Os", "Os", "La", "La", "La", "La"], "fractional_positions": [[0.346, 0.427, 0.352], [0.154, 0.852, 0.927], [0.654, 0.573, 0.648], [0.846, 0.148, 0.073], [0.134, 0.257, 0.273], [0.366, 0.773, 0.757], [0.866, 0.743, 0.727], [0.634, 0.227, 0.243], [0.521, 0.095, 0.837], [0.979, 0.337, 0.595], [0.479, 0.905, 0.163], [0.021, 0.663, 0.405], [0.263, 0.355, 0.464], [0.237, 0.964, 0.855], [0.737, 0.645, 0.536], [0.763, 0.036, 0.145], [0.750, 0.153, 0.653], [0.250, 0.847, 0.347], [0.750, 0.583, 0.083], [0.250, 0.417, 0.917]]}



3.
{"formula": "LaOs3N", "functional": "PBE", "state": "optimized geometry", "crystal_system": "cubic", "de_polymorph_ev_per_fu": 0.00, "lattice_angstrom": [[4.261, 0.000, 0.000], [0.000, 4.261, 0.000], [0.000, 0.000, 4.261]], "species": ["N", "Os", "Os", "Os", "La"], "fractional_positions": [[0.000, 0.000, 0.000], [0.000, 0.500, 0.000], [0.000, 0.000, 0.500], [0.500, 0.000, 0.000], [0.500, 0.500, 0.500]]}



4.
{"formula": "LaOsN3", "functional": "PBE", "state": "optimized geometry", "crystal_system": "triclinic", "lattice_angstrom": [[-3.338, -1.352, -1.606], [-0.806, -6.395, 2.147], [-5.296, 0.570, 5.630]], "species": ["N", "N", "N", "N", "N", "N", "Os", "Os", "La", "La"], "fractional_positions": [[0.323, 0.094, 0.139], [0.378, 0.920, 0.265], [0.888, 0.399, 0.733], [0.037, 0.871, 0.827], [0.917, 0.954, 0.705], [0.647, 0.482, 0.126], [0.485, 0.622, 0.313], [0.949, 0.506, 0.500], [0.730, 0.103, 0.347], [0.276, 0.406, 0.944]]}



5.
{"formula": "LaOsN3", "functional": "PBE", "state": "optimized geometry", "crystal_system": "monoclinic", "lattice_angstrom": [[3.888, -0.005, -0.002], [1.951, 6.485, -0.007], [0.001, -1.105, 6.966]], "species": ["N", "N", "N", "N", "N", "N", "Os", "Os", "La", "La"], "fractional_positions": [[0.493, 0.055, 0.164], [0.578, 0.885, 0.220], [0.352, 0.337, 0.603], [0.000, 0.043, 0.797], [0.088, 0.865, 0.717], [0.812, 0.417, 0.144], [0.695, 0.652, 0.335], [0.213, 0.617, 0.551], [0.936, 0.170, 0.420], [0.363, 0.315, 0.948]]}



6.
{"formula": "LaOsN3", "functional": "PBE", "state": "optimized geometry", "crystal_system": "triclinic", "lattice_angstrom": [[6.123, -0.007, 0.006], [-0.067, 3.962, 0.001], [-2.111, 1.474, 6.193]], "species": ["N", "N", "N", "N", "N", "N", "Os", "Os", "La", "La"], "fractional_positions": [[0.187, 0.964, 0.188], [0.306, 0.665, 0.322], [0.872, 0.874, 0.406], [0.201, 0.567, 0.845], [0.875, 0.542, 0.409], [0.655, 0.556, 0.810], [0.124, 0.220, 0.395], [0.360, 0.629, 0.646], [0.525, 0.300, 0.177], [0.942, 0.077, 0.789]]}



no.,VASP energy (eV/atom),formation energy from raw total energies (eV/atom)
1,-8.490,-0.26
2,-8.555,-0.33
3,-8.889,0.50
4,-8.502,-0.27
5,-8.565,-0.34
6,-8.471,-0.24